The following is a DFT calculation (PBE-GGA) of crystalline KSbP2 at its relaxed geometry.

abc: 2.8863 3.9241 8.4094
angles: 90.00 90.00 90.00
Fractional positions:
K 0.0000 0.0000 0.0000
Sb 0.5000 0.0000 0.5000
P 0.5000 0.5000 0.2750
P 0.5000 0.5000 0.7250

formation energy from raw total energies	11.1	kJ/mol of atoms
total moment	0.000	μB/atom
N(E_F)	1.4	states/eV/cell